Entry from Alexandria via LeMat-Bulk: a relaxed structure of VGa2I (PBE-GGA).

Unit cell a=5.0841 b=5.0841 c=5.0841 alpha=60.00 beta=60.00 gamma=60.00
Fractional positions:
V 0.0000 0.0000 0.0000
Ga 0.2500 0.2500 0.2500
Ga 0.7500 0.7500 0.7500
I 0.5000 0.5000 0.5000

Values from the calculation:
**Total moment**: 3.5 μB/f.u.
**Density**: 5.67 g/cm³
**Volume**: 92.9 Å³/cell
**Symmetry**: Fm-3m
**Formation energy without anion corrections**: 73.2 kJ per mole of atoms
**Energy relative to the lowest polymorph listed for this composition**: 81 meV per atom